[1]
First-principles (SCAN) data for a PBEsol-optimized structure of NaPO, as listed in Alexandria.

Geometry as POSCAR:
```
NaPO
1.0
2.713 0.000 0.000
1.356 5.611 -0.030
1.356 0.938 5.532
Na P O
2 2 2
Cartesian
2.713 3.275 2.751
0.000 0.000 0.000
0.678 0.469 2.766
0.678 2.806 -0.015
0.788 1.637 1.376
4.638 4.912 4.127
```

Results
* M_tot: 0.000 Bohr magnetons per cell
* D(E_F): 1.7 states/eV per cell
* electronic total energy: -46.0 eV for the cell shown
* space group: Imma
* formation energy (no corrections): -0.7158 eV per atom

[2]
First-principles (SCAN) data for a PBEsol-optimized structure of InFeI2N, as listed in Alexandria.

Geometry as POSCAR:
```
InFeI2N
1.0
3.522 0.000 0.000
0.000 5.497 0.000
0.000 0.000 5.497
I N Fe In
2 1 1 1
Cartesian
0.000 0.000 2.748
0.000 2.748 0.000
1.761 0.000 0.000
0.000 0.000 0.000
1.761 2.748 2.748
```

Results
* M_tot: 0.874 Bohr magnetons per cell
* D(E_F): 1.8 states/eV per cell
* electronic total energy: -133.0 eV for the cell shown
* space group: P4/mmm
* formation energy (no corrections): 0.2564 eV per atom

[3]
First-principles (SCAN) data for a PBEsol-optimized structure of LiZn5, as listed in Alexandria.

Geometry as POSCAR:
```
LiZn5
1.0
2.635 0.000 0.000
0.000 4.399 0.000
-1.318 0.000 7.160
Zn Li
5 1
Cartesian
0.000 0.000 4.827
1.318 0.000 2.403
0.000 2.199 6.353
1.318 2.199 3.979
0.000 2.199 1.520
0.000 0.000 0.010
```

Results
* M_tot: 0.000 Bohr magnetons per cell
* D(E_F): 1.3 states/eV per cell
* distance to the lowest polymorph of the same formula: 40 meV/atom
* electronic total energy: -70.6 eV for the cell shown
* space group: Amm2
* E_form: -0.101 eV per atom

[4]
First-principles (SCAN) data for a PBEsol-optimized structure of TaAlZn2, as listed in Alexandria.

Geometry as POSCAR:
```
TaAlZn2
1.0
-1.123 2.410 -0.853
-2.519 0.309 4.189
4.405 2.129 0.216
Zn Al Ta
2 1 1
Cartesian
-1.259 0.154 2.094
2.202 1.065 0.108
-0.562 1.205 -0.426
0.381 2.424 1.776
```

Results
* M_tot: 0.000 Bohr magnetons per cell
* D(E_F): 1.1 states/eV per cell
* electronic total energy: -101.6 eV for the cell shown
* space group: Cmmm
* E_form: -0.061 eV per atom

[5]
First-principles (SCAN) data for a PBEsol-optimized structure of TlCd2Au, as listed in Alexandria.

Geometry as POSCAR:
```
TlCd2Au
1.0
-2.509 0.308 1.899
-0.619 -3.084 -0.317
4.979 -1.705 6.856
Tl Au Cd
1 1 2
Cartesian
-1.564 -1.388 0.791
0.926 -2.240 4.219
3.543 -1.213 4.879
1.436 -0.492 1.977
```

Results
* M_tot: 0.000 Bohr magnetons per cell
* D(E_F): 1.3 states/eV per cell
* distance to the lowest polymorph of the same formula: 3 meV/atom
* electronic total energy: -202.6 eV for the cell shown
* space group: P4/mmm
* E_form: -0.065 eV per atom

[6]
First-principles (SCAN) data for a PBEsol-optimized structure of BaCaSi, as listed in Alexandria.

Geometry as POSCAR:
```
BaCaSi
1.0
-0.472 4.573 -2.235
-2.005 0.359 -4.688
-4.632 2.062 -0.647
Ca Si Ba
1 1 1
Cartesian
-1.777 1.748 -1.893
0.000 0.000 0.000
-3.555 3.497 -3.785
```

Results
* M_tot: 0.000 Bohr magnetons per cell
* D(E_F): 0.5 states/eV per cell
* distance to the lowest polymorph of the same formula: 493 meV/atom
* electronic total energy: -59.2 eV for the cell shown
* space group: F-43m
* formation energy (no corrections): 0.0081 eV per atom

[7]
First-principles (SCAN) data for a PBEsol-optimized structure of Tl3TcB, as listed in Alexandria.

Geometry as POSCAR:
```
Tl3TcB
1.0
4.769 0.000 0.000
0.000 4.769 0.000
0.000 0.000 4.769
Tl B Tc
3 1 1
Cartesian
0.000 2.385 0.000
0.000 0.000 2.385
2.385 0.000 0.000
0.000 0.000 0.000
2.385 2.385 2.385
```

Results
* M_tot: 3.599 Bohr magnetons per cell
* D(E_F): 2.8 states/eV per cell
* electronic total energy: -252.9 eV for the cell shown
* space group: Pm-3m
* E_form: 1.342 eV per atom

[8]
First-principles (SCAN) data for a PBEsol-optimized structure of ZrTa2Ru, as listed in Alexandria.

Geometry as POSCAR:
```
ZrTa2Ru
1.0
-2.376 -1.853 0.267
-1.307 -1.150 -2.474
4.296 -8.033 -0.384
Ru Ta Zr
1 2 1
Cartesian
0.088 -2.676 -0.652
-3.588 -3.125 -2.202
0.515 -8.348 -1.940
0.222 -5.411 -1.301
```

Results
* M_tot: 0.000 Bohr magnetons per cell
* D(E_F): 3.8 states/eV per cell
* electronic total energy: -198.5 eV for the cell shown
* space group: R3m
* E_form: 0.043 eV per atom

[9]
First-principles (SCAN) data for a PBEsol-optimized structure of TlFeRu2, as listed in Alexandria.

Geometry as POSCAR:
```
TlFeRu2
1.0
4.278 0.000 0.000
0.000 4.278 0.000
0.000 0.000 3.255
Fe Ru Tl
1 2 1
Cartesian
0.000 0.000 1.628
0.000 2.139 0.000
2.139 0.000 0.000
2.139 2.139 1.628
```

Results
* M_tot: 5.319 Bohr magnetons per cell
* D(E_F): 2.4 states/eV per cell
* distance to the lowest polymorph of the same formula: 106 meV/atom
* electronic total energy: -158.2 eV for the cell shown
* space group: P4/mmm
* E_form: 0.475 eV per atom

[10]
First-principles (SCAN) data for a PBEsol-optimized structure of Ca2LaNi, as listed in Alexandria.

Geometry as POSCAR:
```
Ca2LaNi
1.0
3.536 0.041 0.000
-0.041 3.536 0.000
0.000 0.000 9.359
Ni Ca La
1 2 1
Cartesian
1.748 1.789 2.475
0.000 0.000 0.664
1.748 1.789 6.986
0.000 0.000 3.913
```

Results
* M_tot: 0.080 Bohr magnetons per cell
* D(E_F): 3.0 states/eV per cell
* distance to the lowest polymorph of the same formula: 22 meV/atom
* electronic total energy: -78.8 eV for the cell shown
* space group: P4mm
* E_form: -0.054 eV per atom

[11]
First-principles (SCAN) data for a PBEsol-optimized structure of Ca2AgSn2, as listed in Alexandria.

Geometry as POSCAR:
```
Ca2AgSn2
1.0
4.816 0.000 0.000
0.000 7.358 0.000
0.000 0.000 7.358
Ca Sn Ag
4 4 2
Cartesian
2.408 1.211 4.890
2.408 4.890 6.147
2.408 6.147 2.468
2.408 2.468 1.211
0.000 2.630 6.309
0.000 6.309 4.728
0.000 4.728 1.049
0.000 1.049 2.630
0.000 0.000 0.000
0.000 3.679 3.679
```

Results
* M_tot: 0.000 Bohr magnetons per cell
* D(E_F): 3.8 states/eV per cell
* distance to the lowest polymorph of the same formula: 0 meV/atom
* electronic total energy: -250.5 eV for the cell shown
* space group: P4/mbm
* E_form: -0.548 eV per atom

[12]
First-principles (SCAN) data for a PBEsol-optimized structure of TaCuSi2, as listed in Alexandria.

Geometry as POSCAR:
```
TaCuSi2
1.0
3.708 0.000 0.000
0.000 3.708 0.000
-1.854 -1.854 3.958
Cu Si Ta
1 2 1
Cartesian
1.854 1.854 0.000
1.854 0.000 1.979
0.000 1.854 1.979
0.000 0.000 0.000
```

Results
* M_tot: 0.000 Bohr magnetons per cell
* D(E_F): 0.7 states/eV per cell
* electronic total energy: -102.2 eV for the cell shown
* space group: I4/mmm
* formation energy (no corrections): -0.1072 eV per atom